# 1
A plane-wave DFT calculation with PBE was carried out for a geometry-optimized Er4HgRh5 structure.

Symmetry: P4/mmm, No. 123
Magnetization, μB per atom: 0.000
DFT formation energy, eV/atom: -0.756

Cell and atoms, written as CIF:
```
data_Er4HgRh5
_space_group_name_H-M_alt 'P 1'
_space_group_IT_number 1
_cell_length_a 3.4005
_cell_length_b 3.4005
_cell_length_c 16.4802
_cell_angle_alpha 90.00
_cell_angle_beta 90.00
_cell_angle_gamma 90.00
loop_
_space_group_symop_operation_xyz
'x,y,z'
loop_
_atom_site_label
_atom_site_type_symbol
_atom_site_fract_x
_atom_site_fract_y
_atom_site_fract_z
Rh1 Rh 0.5000 0.5000 0.2971
Rh2 Rh 0.5000 0.5000 0.5000
Rh3 Rh 0.5000 0.5000 0.0975
Rh4 Rh 0.5000 0.5000 0.9025
Rh5 Rh 0.5000 0.5000 0.7029
Er1 Er 0.0000 0.0000 0.8089
Er2 Er 0.0000 0.0000 0.1911
Er3 Er 0.0000 0.0000 0.3972
Er4 Er 0.0000 0.0000 0.6028
Hg1 Hg 0.0000 0.0000 0.0000
```

***

# 2
A plane-wave DFT calculation with PBE was carried out for a geometry-optimized MgSb2TeRh structure.

Formation energy (no corrections), eV/atom: 0.185
Symmetry: P4/mmm, No. 123
Magnetization, μB per atom: 0.000
Energy above the most stable polymorph in this dataset, meV/atom: 0

Cell and atoms, written as CIF:
```
data_MgSb2TeRh
_space_group_name_H-M_alt 'P 1'
_space_group_IT_number 1
_cell_length_a 5.0377
_cell_length_b 5.0377
_cell_length_c 5.7131
_cell_angle_alpha 90.00
_cell_angle_beta 90.00
_cell_angle_gamma 90.00
loop_
_space_group_symop_operation_xyz
'x,y,z'
loop_
_atom_site_label
_atom_site_type_symbol
_atom_site_fract_x
_atom_site_fract_y
_atom_site_fract_z
Mg1 Mg 0.5000 0.5000 0.5000
Sb1 Sb 0.5000 0.0000 0.0000
Sb2 Sb 0.0000 0.5000 0.0000
Te1 Te 0.0000 0.0000 0.5000
Rh1 Rh 0.0000 0.0000 0.0000
```

***

# 3
A plane-wave DFT calculation with PBE was carried out for a geometry-optimized La4Dy9Ho11 structure.

Symmetry: Cmmm, No. 65
Magnetization, μB per atom: 0.000
DFT formation energy, eV/atom: 0.046

Cell and atoms, written as CIF:
```
data_La4Dy9Ho11
_space_group_name_H-M_alt 'P 1'
_space_group_IT_number 1
_cell_length_a 3.6066
_cell_length_b 15.5320
_cell_length_c 15.5320
_cell_angle_alpha 116.30
_cell_angle_beta 90.00
_cell_angle_gamma 90.00
loop_
_space_group_symop_operation_xyz
'x,y,z'
loop_
_atom_site_label
_atom_site_type_symbol
_atom_site_fract_x
_atom_site_fract_y
_atom_site_fract_z
La1 La 0.5000 0.7566 0.5827
La2 La 0.5000 0.5827 0.7566
La3 La 0.5000 0.2434 0.4173
La4 La 0.5000 0.4173 0.2434
Ho1 Ho 0.0000 0.8129 0.1871
Ho2 Ho 0.0000 0.0317 0.4042
Ho3 Ho 0.0000 0.5958 0.9683
Ho4 Ho 0.0000 0.4042 0.0317
Ho5 Ho 0.0000 0.3745 0.6255
Ho6 Ho 0.0000 0.2081 0.2081
Ho7 Ho 0.0000 0.0000 0.0000
Ho8 Ho 0.0000 0.6255 0.3745
Ho9 Ho 0.0000 0.1871 0.8129
Ho10 Ho 0.0000 0.7919 0.7919
Ho11 Ho 0.0000 0.9683 0.5958
Dy1 Dy 0.5000 0.0140 0.2019
Dy2 Dy 0.5000 0.2019 0.0140
Dy3 Dy 0.5000 0.6132 0.1735
Dy4 Dy 0.5000 0.3868 0.8265
Dy5 Dy 0.5000 0.7981 0.9860
Dy6 Dy 0.5000 0.5000 0.5000
Dy7 Dy 0.5000 0.8265 0.3868
Dy8 Dy 0.5000 0.9860 0.7981
Dy9 Dy 0.5000 0.1735 0.6132
```

***

# 4
A plane-wave DFT calculation with PBE was carried out for a geometry-optimized Bi2Se3O10 structure.

Formation energy (no corrections), eV/atom: -0.947
Symmetry: C2/c, No. 15
Magnetization, μB per atom: 0.000

Cell and atoms, written as CIF:
```
data_Bi2Se3O10
_space_group_name_H-M_alt 'P 1'
_space_group_IT_number 1
_cell_length_a 8.9665
_cell_length_b 8.9665
_cell_length_c 8.0987
_cell_angle_alpha 70.54
_cell_angle_beta 70.54
_cell_angle_gamma 52.02
loop_
_space_group_symop_operation_xyz
'x,y,z'
loop_
_atom_site_label
_atom_site_type_symbol
_atom_site_fract_x
_atom_site_fract_y
_atom_site_fract_z
O1 O 0.6922 0.8942 0.5151
O2 O 0.4015 0.4116 0.3029
O3 O 0.3078 0.1058 0.4849
O4 O 0.0280 0.5835 0.6156
O5 O 0.0009 0.7475 0.2659
O6 O 0.4116 0.4015 0.8029
O7 O 0.7502 0.2897 0.0665
O8 O 0.5835 0.0280 0.1156
O9 O 0.9720 0.4165 0.3844
O10 O 0.8942 0.6922 0.0151
O11 O 0.5884 0.5985 0.1971
O12 O 0.2897 0.7502 0.5665
O13 O 0.7475 0.0009 0.7659
O14 O 0.9991 0.2525 0.7341
O15 O 0.2525 0.9991 0.2341
O16 O 0.7103 0.2498 0.4335
O17 O 0.4165 0.9720 0.8844
O18 O 0.5985 0.5884 0.6971
O19 O 0.2498 0.7103 0.9335
O20 O 0.1058 0.3078 0.9849
Se1 Se 0.3880 0.6120 0.7500
Se2 Se 0.8011 0.9420 0.9745
Se3 Se 0.6120 0.3880 0.2500
Se4 Se 0.0580 0.1989 0.5255
Se5 Se 0.9420 0.8011 0.4745
Se6 Se 0.1989 0.0580 0.0255
Bi1 Bi 0.4832 0.1621 0.6449
Bi2 Bi 0.8379 0.5168 0.8551
Bi3 Bi 0.1621 0.4832 0.1449
Bi4 Bi 0.5168 0.8379 0.3551
```

***

# 5
A plane-wave DFT calculation with PBE was carried out for a geometry-optimized LaTb4Er7 structure.

Symmetry: P-1, No. 2
Magnetization, μB per atom: 0.000
Energy above the most stable polymorph in this dataset, meV/atom: 0
DFT formation energy, eV/atom: 0.004

Cell and atoms, written as CIF:
```
data_LaTb4Er7
_space_group_name_H-M_alt 'P 1'
_space_group_IT_number 1
_cell_length_a 7.1545
_cell_length_b 6.1951
_cell_length_c 11.3420
_cell_angle_alpha 79.53
_cell_angle_beta 50.92
_cell_angle_gamma 90.04
loop_
_space_group_symop_operation_xyz
'x,y,z'
loop_
_atom_site_label
_atom_site_type_symbol
_atom_site_fract_x
_atom_site_fract_y
_atom_site_fract_z
Er1 Er 0.5000 0.0000 0.0000
Er2 Er 0.3355 0.7775 0.6645
Er3 Er 0.6645 0.2225 0.3355
Er4 Er 0.7490 0.4995 0.0000
Er5 Er 0.2510 0.5005 0.0000
Er6 Er 0.0846 0.2787 0.6645
Er7 Er 0.9154 0.7213 0.3355
Tb1 Tb 0.5872 0.2789 0.6638
Tb2 Tb 0.8339 0.7785 0.6660
Tb3 Tb 0.1661 0.2215 0.3340
Tb4 Tb 0.4128 0.7211 0.3362
La1 La 0.0000 0.0000 0.0000
```

***

# 6
A plane-wave DFT calculation with PBE was carried out for a geometry-optimized TlSbTeN2 structure.

Formation energy (no corrections), eV/atom: 1.139
Symmetry: P4/mmm, No. 123
Magnetization, μB per atom: 0.250
Energy above the most stable polymorph in this dataset, meV/atom: 0

Cell and atoms, written as CIF:
```
data_TlSbTeN2
_space_group_name_H-M_alt 'P 1'
_space_group_IT_number 1
_cell_length_a 4.2199
_cell_length_b 4.2199
_cell_length_c 6.2491
_cell_angle_alpha 90.00
_cell_angle_beta 90.00
_cell_angle_gamma 90.00
loop_
_space_group_symop_operation_xyz
'x,y,z'
loop_
_atom_site_label
_atom_site_type_symbol
_atom_site_fract_x
_atom_site_fract_y
_atom_site_fract_z
Tl1 Tl 0.5000 0.5000 0.5000
N1 N 0.5000 0.0000 0.0000
N2 N 0.0000 0.5000 0.0000
Te1 Te 0.0000 0.0000 0.5000
Sb1 Sb 0.0000 0.0000 0.0000
```

***

| no. | ρ (g/cm³) |
| --- | --- |
| 1 | 12.06 |
| 2 | 5.71 |
| 3 | 8.16 |
| 4 | 5.68 |
| 5 | 8.52 |
| 6 | 7.19 |